# PBE Pa3Co9B2Os, relaxed
# M_tot ... 0.11 μB per atom
# E_tot ... -0.2957 hartree per atom
# Space group ... P-3m1
# N(E_F) ... 13.28 states/eV/f.u.
# Formation energy ... -0.243 eV per atom
data_Pa3Co9B2Os
_chemical_formula_sum 'Pa3 Co9 B2 Os1'
_cell_length_a 5.299
_cell_length_b 5.299
_cell_length_c 8.497
_cell_angle_alpha 90.00
_cell_angle_beta 90.00
_cell_angle_gamma 120.00
_space_group_name_H-M_alt 'P 1'
_space_group_IT_number 1
loop_
_space_group_symop_operation_xyz
'x,y,z'
loop_
_atom_site_label
_atom_site_fract_x
_atom_site_fract_y
_atom_site_fract_z
_atom_site_occupancy
Pa1 0.333 0.667 0.643 1
Pa2 0.000 0.000 0.000 1
Pa3 0.667 0.333 0.357 1
Co1 0.833 0.167 0.719 1
Co2 0.833 0.667 0.719 1
Co3 0.333 0.167 0.719 1
Co4 0.667 0.833 0.281 1
Co5 0.167 0.333 0.281 1
Co6 0.167 0.833 0.281 1
Co7 0.500 0.000 0.000 1
Co8 0.000 0.500 0.000 1
Co9 0.500 0.500 0.000 1
B1 0.333 0.667 0.140 1
B2 0.667 0.333 0.860 1
Os1 0.000 0.000 0.500 1